1.
# Sr2CaSc GGA-PBE optimized geometry
# Energy of formation (eV/atom): 0.26
# Excess energy over the best structure of this formula in the dataset (kJ/mol of atoms): 7.1
data_Sr2CaSc
_cell_length_a 3.755
_cell_length_b 5.905
_cell_length_c 7.593
_cell_angle_alpha 90.00
_cell_angle_beta 103.74
_cell_angle_gamma 90.00
_symmetry_space_group_name_H-M 'P 1 2/m 1'
_symmetry_Int_Tables_number 10
_symmetry_space_group_name_Hall '-P 2y'
loop_
_atom_site_label
_atom_site_type_symbol
_atom_site_fract_x
_atom_site_fract_y
_atom_site_fract_z
Sr1 Sr 0.039 0.000 0.263
Ca1 Ca 0.500 0.500 0.000
Sc1 Sc 0.500 0.500 0.500

2.
# SrCa2Sc GGA-PBE optimized geometry
# Energy of formation (eV/atom): 0.25
# Excess energy over the best structure of this formula in the dataset (kJ/mol of atoms): 8.5
data_SrCa2Sc
_cell_length_a 7.623
_cell_length_b 10.778
_cell_length_c 3.801
_cell_angle_alpha 90.00
_cell_angle_beta 90.00
_cell_angle_gamma 90.00
_symmetry_space_group_name_H-M 'C m m m'
_symmetry_Int_Tables_number 65
_symmetry_space_group_name_Hall '-C 2 2'
loop_
_atom_site_label
_atom_site_type_symbol
_atom_site_fract_x
_atom_site_fract_y
_atom_site_fract_z
Sr1 Sr 0.000 0.000 0.000
Ca1 Ca 0.250 0.250 0.500
Sc1 Sc 0.000 0.500 0.000

3.
# Sr2CaSc GGA-PBE optimized geometry
# Energy of formation (eV/atom): 0.27
# Excess energy over the best structure of this formula in the dataset (kJ/mol of atoms): 8.4
data_Sr2CaSc
_cell_length_a 4.461
_cell_length_b 6.016
_cell_length_c 6.069
_cell_angle_alpha 90.00
_cell_angle_beta 90.00
_cell_angle_gamma 90.00
_symmetry_space_group_name_H-M 'P m m m'
_symmetry_Int_Tables_number 47
_symmetry_space_group_name_Hall '-P 2 2'
loop_
_atom_site_label
_atom_site_type_symbol
_atom_site_fract_x
_atom_site_fract_y
_atom_site_fract_z
Sr1 Sr 0.000 0.000 0.000
Sr2 Sr 0.500 0.000 0.500
Ca1 Ca 0.000 0.500 0.500
Sc1 Sc 0.500 0.500 0.000

4.
# SrCa2Sc GGA-PBE optimized geometry
# Energy of formation (eV/atom): 0.24
# Excess energy over the best structure of this formula in the dataset (kJ/mol of atoms): 7.6
data_SrCa2Sc
_cell_length_a 4.263
_cell_length_b 5.955
_cell_length_c 6.011
_cell_angle_alpha 90.00
_cell_angle_beta 90.00
_cell_angle_gamma 90.00
_symmetry_space_group_name_H-M 'P m m m'
_symmetry_Int_Tables_number 47
_symmetry_space_group_name_Hall '-P 2 2'
loop_
_atom_site_label
_atom_site_type_symbol
_atom_site_fract_x
_atom_site_fract_y
_atom_site_fract_z
Sr1 Sr 0.000 0.000 0.000
Ca1 Ca 0.000 0.500 0.500
Ca2 Ca 0.500 0.000 0.500
Sc1 Sc 0.500 0.500 0.000

5.
# SrCa2Sc GGA-PBE optimized geometry
# Energy of formation (eV/atom): 0.48
# Excess energy over the best structure of this formula in the dataset (kJ/mol of atoms): 30.4
data_SrCa2Sc
_cell_length_a 4.962
_cell_length_b 4.962
_cell_length_c 25.837
_cell_angle_alpha 90.00
_cell_angle_beta 90.00
_cell_angle_gamma 90.00
_symmetry_space_group_name_H-M 'I -4 2 d'
_symmetry_Int_Tables_number 122
_symmetry_space_group_name_Hall 'I -4 2bw'
loop_
_atom_site_label
_atom_site_type_symbol
_atom_site_fract_x
_atom_site_fract_y
_atom_site_fract_z
Sr1 Sr 0.000 0.000 0.000
Ca1 Ca 0.238 0.250 0.625
Sc1 Sc 0.000 0.000 0.500

6.
# Sr2CaSc GGA-PBE optimized geometry
# Energy of formation (eV/atom): 0.24
# Excess energy over the best structure of this formula in the dataset (kJ/mol of atoms): 5.0
data_Sr2CaSc
_cell_length_a 4.545
_cell_length_b 6.026
_cell_length_c 11.963
_cell_angle_alpha 90.00
_cell_angle_beta 90.00
_cell_angle_gamma 90.00
_symmetry_space_group_name_H-M 'C m m m'
_symmetry_Int_Tables_number 65
_symmetry_space_group_name_Hall '-C 2 2'
loop_
_atom_site_label
_atom_site_type_symbol
_atom_site_fract_x
_atom_site_fract_y
_atom_site_fract_z
Sr1 Sr 0.000 0.000 0.229
Ca1 Ca 0.000 0.500 0.500
Sc1 Sc 0.000 0.500 0.000

7.
# SrCa2Sc GGA-PBE optimized geometry
# Energy of formation (eV/atom): 0.22
# Excess energy over the best structure of this formula in the dataset (kJ/mol of atoms): 5.7
data_SrCa2Sc
_cell_length_a 13.039
_cell_length_b 3.926
_cell_length_c 6.380
_cell_angle_alpha 90.00
_cell_angle_beta 107.51
_cell_angle_gamma 90.00
_symmetry_space_group_name_H-M 'C 1 m 1'
_symmetry_Int_Tables_number 8
_symmetry_space_group_name_Hall 'C -2y'
loop_
_atom_site_label
_atom_site_type_symbol
_atom_site_fract_x
_atom_site_fract_y
_atom_site_fract_z
Sr1 Sr 0.000 0.000 0.000
Ca1 Ca 0.231 0.000 0.714
Ca2 Ca 0.471 0.000 0.470
Sc1 Sc 0.244 0.500 0.228

8.
# Sr2CaSc GGA-PBE optimized geometry
# Energy of formation (eV/atom): 0.27
# Excess energy over the best structure of this formula in the dataset (kJ/mol of atoms): 8.2
data_Sr2CaSc
_cell_length_a 5.526
_cell_length_b 5.526
_cell_length_c 10.929
_cell_angle_alpha 90.00
_cell_angle_beta 90.00
_cell_angle_gamma 90.00
_symmetry_space_group_name_H-M 'I -4 m 2'
_symmetry_Int_Tables_number 119
_symmetry_space_group_name_Hall 'I -4 -2'
loop_
_atom_site_label
_atom_site_type_symbol
_atom_site_fract_x
_atom_site_fract_y
_atom_site_fract_z
Sr1 Sr 0.000 0.000 0.000
Sr2 Sr 0.000 0.500 0.250
Ca1 Ca 0.000 0.500 0.750
Sc1 Sc 0.000 0.000 0.500

9.
# Sr2CaSc GGA-PBE optimized geometry
# Energy of formation (eV/atom): 0.21
# Excess energy over the best structure of this formula in the dataset (kJ/mol of atoms): 2.8
data_Sr2CaSc
_cell_length_a 4.132
_cell_length_b 4.132
_cell_length_c 9.682
_cell_angle_alpha 90.00
_cell_angle_beta 90.00
_cell_angle_gamma 90.00
_symmetry_space_group_name_H-M 'P 4/m m m'
_symmetry_Int_Tables_number 123
_symmetry_space_group_name_Hall '-P 4 2'
loop_
_atom_site_label
_atom_site_type_symbol
_atom_site_fract_x
_atom_site_fract_y
_atom_site_fract_z
Sr1 Sr 0.000 0.000 0.219
Ca1 Ca 0.500 0.500 0.500
Sc1 Sc 0.500 0.500 0.000

10.
# Sr2CaSc GGA-PBE optimized geometry
# Energy of formation (eV/atom): 0.23
# Excess energy over the best structure of this formula in the dataset (kJ/mol of atoms): 4.5
data_Sr2CaSc
_cell_length_a 4.136
_cell_length_b 6.314
_cell_length_c 12.638
_cell_angle_alpha 90.00
_cell_angle_beta 90.00
_cell_angle_gamma 90.00
_symmetry_space_group_name_H-M 'I m m 2'
_symmetry_Int_Tables_number 44
_symmetry_space_group_name_Hall 'I 2 -2'
loop_
_atom_site_label
_atom_site_type_symbol
_atom_site_fract_x
_atom_site_fract_y
_atom_site_fract_z
Sr1 Sr 0.000 0.000 0.000
Sr2 Sr 0.000 0.500 0.224
Ca1 Ca 0.000 0.500 0.768
Sc1 Sc 0.000 0.000 0.487

11.
# SrCaScTc2 GGA-PBE optimized geometry
# Energy of formation (eV/atom): 1.62
data_SrCaScTc2
_cell_length_a 5.022
_cell_length_b 5.022
_cell_length_c 5.245
_cell_angle_alpha 90.00
_cell_angle_beta 90.00
_cell_angle_gamma 90.00
_symmetry_space_group_name_H-M 'P 4/m m m'
_symmetry_Int_Tables_number 123
_symmetry_space_group_name_Hall '-P 4 2'
loop_
_atom_site_label
_atom_site_type_symbol
_atom_site_fract_x
_atom_site_fract_y
_atom_site_fract_z
Sr1 Sr 0.000 0.000 0.000
Ca1 Ca 0.500 0.500 0.500
Sc1 Sc 0.500 0.500 0.000
Tc1 Tc 0.000 0.500 0.500

12.
# SrCaSc2Te GGA-PBE optimized geometry
# Uncorrected formation energy (eV per atom): -0.069
data_SrCaSc2Te
_cell_length_a 5.526
_cell_length_b 5.526
_cell_length_c 6.194
_cell_angle_alpha 90.00
_cell_angle_beta 90.00
_cell_angle_gamma 90.00
_symmetry_space_group_name_H-M 'P 4/m m m'
_symmetry_Int_Tables_number 123
_symmetry_space_group_name_Hall '-P 4 2'
loop_
_atom_site_label
_atom_site_type_symbol
_atom_site_fract_x
_atom_site_fract_y
_atom_site_fract_z
Sr1 Sr 0.000 0.000 0.000
Ca1 Ca 0.500 0.500 0.000
Sc1 Sc 0.000 0.500 0.500
Te1 Te 0.000 0.000 0.500